1.
Here is a geometry-optimized MgCdS2Cl structure from Alexandria via LeMat-Bulk. Energies are from PBE.

Lattice parameters (Å, degrees): 4.9859 4.9859 5.1028 90.00 90.00 90.00
With the nearest neighbours (Å) after each atom.
Atoms (fractional coordinates):
Mg 0.0000 0.0000 0.0000  4 Cl 3.53, 8 S 3.57
Cd 0.5000 0.5000 0.5000  4 S 2.49, 2 Cl 2.55
S 0.0000 0.5000 0.5000  2 Cd 2.49
S 0.5000 0.0000 0.5000  2 Cd 2.49
Cl 0.5000 0.5000 0.0000  2 Cd 2.55

Results
ΔE to the lowest computed polymorph in eV per formula unit: 1.25
Symmetry: P4/mmm
Crystal system: tetragonal

=====

2.
Here is a geometry-optimized MgCdSeCl2 structure from Alexandria via LeMat-Bulk. Energies are from PBE.

Lattice parameters (Å, degrees): 4.5259 4.5259 11.0629 90.00 90.00 90.00
With the nearest neighbours (Å) after each atom.
Atoms (fractional coordinates):
Mg 0.0000 0.0000 0.0000  4 Cl 2.26
Cd 0.0000 0.0000 0.5000  4 Se 3.20
Se 0.5000 0.5000 0.5000  4 Cd 3.20
Cl 0.0000 0.5000 0.0000  2 Mg 2.26
Cl 0.5000 0.0000 0.0000  2 Mg 2.26

Results
Symmetry: P4/mmm
Calculated total energy in eV per atom: -2.62
Crystal system: tetragonal

=====

3.
Here is a geometry-optimized SrMgCdCl6 structure from Alexandria via LeMat-Bulk. Energies are from PBE.

Lattice parameters (Å, degrees): 6.6792 6.6792 12.6746 90.00 90.00 120.00
With the nearest neighbours (Å) after each atom.
Atoms (fractional coordinates):
Sr 0.0000 0.0000 0.0000  6 Cl 2.95
Sr 0.0000 0.0000 0.5000  6 Cl 2.95
Mg 0.3333 0.6667 0.2500  6 Cl 2.53
Mg 0.6667 0.3333 0.7500  6 Cl 2.53
Cd 0.3333 0.6667 0.7500  6 Cl 2.66
Cd 0.6667 0.3333 0.2500  6 Cl 2.66
Cl 0.0151 0.3664 0.1349  1 Mg 2.53, 1 Cd 2.66
Cl 0.0151 0.6486 0.3651  1 Mg 2.53, 1 Cd 2.66
Cl 0.3514 0.3664 0.3651  1 Mg 2.53, 1 Cd 2.66
Cl 0.3514 0.9849 0.1349  1 Mg 2.53, 1 Cd 2.66
Cl 0.3664 0.0151 0.6349  1 Mg 2.53, 1 Cd 2.66
Cl 0.3664 0.3514 0.8651  1 Mg 2.53, 1 Cd 2.66
Cl 0.6336 0.6486 0.1349  1 Mg 2.53, 1 Cd 2.66
Cl 0.6336 0.9849 0.3651  1 Mg 2.53, 1 Cd 2.66
Cl 0.6486 0.0151 0.8651  1 Mg 2.53, 1 Cd 2.66
Cl 0.6486 0.6336 0.6349  1 Mg 2.53, 1 Cd 2.66
Cl 0.9849 0.3514 0.6349  1 Mg 2.53, 1 Cd 2.66
Cl 0.9849 0.6336 0.8651  1 Mg 2.53, 1 Cd 2.66

Results
Symmetry: P-31c
Calculated total energy in eV per atom: -3.49
Crystal system: trigonal

=====

4.
Here is a geometry-optimized MnCdCl2 structure from Alexandria via LeMat-Bulk. Energies are from PBE.

Lattice parameters (Å, degrees): 3.4655 4.2594 6.0374 90.00 90.00 90.00
With the nearest neighbours (Å) after each atom.
Atoms (fractional coordinates):
Mn 0.0000 0.0000 0.0000  4 Cl 2.75
Cd 0.5000 0.0000 0.5000  4 Cl 2.75
Cl 0.0000 0.5000 0.5000  4 Cd 2.75
Cl 0.5000 0.5000 0.0000  4 Mn 2.75

Results
ΔE to the lowest computed polymorph in eV per formula unit: 2.26
Symmetry: Pmmm
Crystal system: orthorhombic

=====

5.
Here is a geometry-optimized MnCdCl2 structure from Alexandria via LeMat-Bulk. Energies are from PBE.

Lattice parameters (Å, degrees): 3.7356 5.9060 8.9126 90.00 90.00 90.00
With the nearest neighbours (Å) after each atom.
Atoms (fractional coordinates):
Mn 0.0000 0.0000 0.0000  2 Cl 2.40
Mn 0.5000 0.5000 0.0000  2 Cl 2.40
Cd 0.0000 0.5000 0.2457  2 Cl 2.56
Cd 0.5000 0.0000 0.2457  2 Cl 2.56
Cl 0.0000 0.0000 0.4421  2 Cd 2.56
Cl 0.0000 0.5000 0.8311  2 Mn 2.40
Cl 0.5000 0.0000 0.8311  2 Mn 2.40
Cl 0.5000 0.5000 0.4421  2 Cd 2.56

Results
ΔE to the lowest computed polymorph in eV per formula unit: 0.97
Symmetry: Cmm2
Crystal system: orthorhombic

=====

6.
Here is a geometry-optimized MnCdCl2 structure from Alexandria via LeMat-Bulk. Energies are from PBE.

Lattice parameters (Å, degrees): 3.3764 6.3917 9.4740 90.00 90.00 90.00
With the nearest neighbours (Å) after each atom.
Atoms (fractional coordinates):
Mn 0.0000 0.0000 0.0000  2 Cl 2.42
Mn 0.5000 0.5000 0.5000  2 Cl 2.42
Cd 0.0000 0.5000 0.2564  2 Cl 2.69, 2 Mn 2.86
Cd 0.5000 0.0000 0.7564  2 Cl 2.69, 2 Mn 2.86
Cl 0.0000 0.0000 0.5355  2 Cd 2.69
Cl 0.0000 0.5000 0.6826  2 Mn 2.42
Cl 0.5000 0.0000 0.1826  2 Mn 2.42
Cl 0.5000 0.5000 0.0355  2 Cd 2.69

Results
ΔE to the lowest computed polymorph in eV per formula unit: 0.99
Symmetry: Imm2
Crystal system: orthorhombic